## w
Entry from the Alexandria database: a relaxed Ag2BS crystal (GGA-PBE).

Cell lengths 4.573, 4.573, 7.660 Å; angles 72.63, 72.63, 90.00 degrees
Atoms (fractional coordinates):
S  0.750  0.250  0.500
Ag  0.563  0.125  0.250
Ag  0.875  0.813  0.750
Ag  0.187  0.625  0.250
Ag  0.375  0.437  0.750
S  0.000  0.000  0.000
B  0.500  0.500  0.000
B  0.250  0.750  0.500

Results
**V**: 18.15 Å³/atom
**Total magnetization**: 0.00 μB per atom
**Space-group type**: I-42d (122)
**Crystal system**: tetragonal

***

## x
Entry from the Alexandria database: a relaxed Ag2BS crystal (GGA-PBE).

Cell lengths 4.465, 4.465, 4.465 Å; angles 60.00, 60.00, 60.00 degrees
Atoms (fractional coordinates):
Ag  0.750  0.750  0.750
S  0.500  0.500  0.500
B  0.000  0.000  0.000
Ag  0.250  0.250  0.250

Results
**V**: 15.74 Å³/atom
**Total magnetization**: 0.00 μB per atom
**Space-group type**: Fm-3m (225)
**Crystal system**: cubic

***

In terms of stability, w leads; the second structure lies 141 meV per atom higher.

***

## w
Entry from the Alexandria database: a relaxed AgBSeS2 crystal (GGA-PBE).

Cell lengths 4.118, 4.909, 4.118 Å; angles 90.00, 90.00, 90.00 degrees
Atoms (fractional coordinates):
Se  0.000  0.500  0.000
B  0.000  0.000  0.000
S  0.500  0.000  0.000
Ag  0.500  0.500  0.500
S  0.000  0.000  0.500

Results
**V**: 16.65 Å³/atom
**Total magnetization**: 0.00 μB per atom
**Space-group type**: P4/mmm (123)
**Crystal system**: tetragonal

***

## x
Entry from the Alexandria database: a relaxed AgBSeS2 crystal (GGA-PBE).

Cell lengths 4.906, 4.105, 4.906 Å; angles 90.00, 90.00, 90.00 degrees
Atoms (fractional coordinates):
B  0.000  0.500  0.000
Ag  0.500  0.500  0.500
S  0.000  0.000  0.500
Se  0.000  0.000  0.000
S  0.500  0.000  0.000

Results
**V**: 19.76 Å³/atom
**Total magnetization**: 0.00 μB per atom
**Space-group type**: P4/mmm (123)
**Crystal system**: tetragonal

***

In terms of stability, w leads; the second structure lies 343 meV per atom higher.

***

## w
Entry from the Alexandria database: a relaxed AgBSb3 crystal (GGA-PBE).

Cell lengths 4.844, 4.844, 4.844 Å; angles 90.00, 90.00, 90.00 degrees
Atoms (fractional coordinates):
Ag  0.500  0.500  0.500
Sb  0.000  0.500  0.000
Sb  0.500  0.000  0.000
B  0.000  0.000  0.000
Sb  0.000  0.000  0.500

Results
**V**: 22.73 Å³/atom
**Total magnetization**: 0.00 μB per atom
**Space-group type**: Pm-3m (221)
**Crystal system**: cubic

***

## x
Entry from the Alexandria database: a relaxed AgBSb3 crystal (GGA-PBE).

Cell lengths 5.360, 5.360, 5.360 Å; angles 90.00, 90.00, 90.00 degrees
Atoms (fractional coordinates):
Ag  0.000  0.000  0.000
Sb  0.000  0.000  0.500
Sb  0.000  0.500  0.000
Sb  0.500  0.000  0.000
B  0.500  0.500  0.500

Results
**V**: 30.81 Å³/atom
**Total magnetization**: 0.00 μB per atom
**Space-group type**: Pm-3m (221)
**Crystal system**: cubic

***

In terms of stability, w leads; the second structure lies 781 meV per atom higher.

***

## w
Entry from the Alexandria database: a relaxed Sc2AgB2 crystal (GGA-PBE).

Cell lengths 4.088, 4.088, 5.496 Å; angles 68.17, 68.17, 90.00 degrees
Atoms (fractional coordinates):
Ag  0.000  0.000  0.000
B  0.585  0.585  0.831
Sc  0.750  0.250  0.500
B  0.415  0.415  0.169
Sc  0.250  0.750  0.500

Results
**V**: 15.62 Å³/atom
**Total magnetization**: 0.01 μB per atom
**Space-group type**: I4/mmm (139)
**Crystal system**: tetragonal

***

## x
Entry from the Alexandria database: a relaxed Sc2AgB2 crystal (GGA-PBE).

Cell lengths 6.415, 6.415, 3.453 Å; angles 90.00, 90.00, 90.00 degrees
Atoms (fractional coordinates):
Ag  0.500  0.500  0.000
Sc  0.321  0.179  0.500
B  0.409  0.909  0.000
B  0.591  0.091  0.000
B  0.091  0.409  0.000
Sc  0.821  0.321  0.500
Ag  0.000  0.000  0.000
Sc  0.179  0.679  0.500
Sc  0.679  0.821  0.500
B  0.909  0.591  0.000

Results
**V**: 14.21 Å³/atom
**Total magnetization**: 0.00 μB per atom
**Space-group type**: P4/mbm (127)
**Crystal system**: tetragonal

***

In terms of stability, x leads; the second structure lies 550 meV per atom higher.

***

## w
Entry from the Alexandria database: a relaxed Ag2BSe crystal (GGA-PBE).

Cell lengths 4.694, 4.694, 7.797 Å; angles 72.48, 72.48, 90.00 degrees
Atoms (fractional coordinates):
Ag  0.542  0.125  0.250
Se  0.750  0.250  0.500
Ag  0.875  0.792  0.750
Ag  0.208  0.625  0.250
B  0.500  0.500  0.000
Se  0.000  0.000  0.000
Ag  0.375  0.458  0.750
B  0.250  0.750  0.500

Results
**V**: 19.43 Å³/atom
**Total magnetization**: 0.00 μB per atom
**Space-group type**: I-42d (122)
**Crystal system**: tetragonal

***

## x
Entry from the Alexandria database: a relaxed Ag2BSe crystal (GGA-PBE).

Cell lengths 4.582, 4.582, 4.582 Å; angles 60.00, 60.00, 60.00 degrees
Atoms (fractional coordinates):
Se  0.500  0.500  0.500
B  0.000  0.000  0.000
Ag  0.750  0.750  0.750
Ag  0.250  0.250  0.250

Results
**V**: 17.01 Å³/atom
**Total magnetization**: 0.00 μB per atom
**Space-group type**: Fm-3m (225)
**Crystal system**: cubic

***

In terms of stability, w leads; the second structure lies 150 meV per atom higher.

***

## w
Entry from the Alexandria database: a relaxed AgB3Se crystal (GGA-PBE).

Cell lengths 4.135, 4.135, 4.135 Å; angles 90.00, 90.00, 90.00 degrees
Atoms (fractional coordinates):
B  0.500  0.000  0.000
Ag  0.500  0.500  0.500
Se  0.000  0.000  0.000
B  0.000  0.000  0.500
B  0.000  0.500  0.000

Results
**V**: 14.14 Å³/atom
**Total magnetization**: 0.00 μB per atom
**Space-group type**: Pm-3m (221)
**Crystal system**: cubic

***

## x
Entry from the Alexandria database: a relaxed AgB3Se crystal (GGA-PBE).

Cell lengths 4.264, 4.264, 4.264 Å; angles 90.00, 90.00, 90.00 degrees
Atoms (fractional coordinates):
B  0.000  0.000  0.500
B  0.000  0.500  0.000
B  0.500  0.000  0.000
Se  0.500  0.500  0.500
Ag  0.000  0.000  0.000

Results
**V**: 15.51 Å³/atom
**Total magnetization**: 0.00 μB per atom
**Space-group type**: Pm-3m (221)
**Crystal system**: cubic

***

In terms of stability, x leads; the second structure lies 66 meV per atom higher.

***

## w
Entry from the Alexandria database: a relaxed Si2AgB2 crystal (GGA-PBE).

Cell lengths 3.733, 3.733, 5.316 Å; angles 69.44, 69.44, 90.00 degrees
Atoms (fractional coordinates):
Si  0.632  0.632  0.737
Ag  0.000  0.000  0.000
B  0.250  0.750  0.500
Si  0.368  0.368  0.263
B  0.750  0.250  0.500

Results
**V**: 12.86 Å³/atom
**Total magnetization**: 0.00 μB per atom
**Space-group type**: I4/mmm (139)
**Crystal system**: tetragonal

***

## x
Entry from the Alexandria database: a relaxed Si2AgB2 crystal (GGA-PBE).

Cell lengths 6.635, 6.635, 3.061 Å; angles 90.00, 90.00, 90.00 degrees
Atoms (fractional coordinates):
Ag  0.500  0.500  0.000
B  0.091  0.591  0.500
Si  0.644  0.144  0.000
Si  0.144  0.356  0.000
Si  0.356  0.856  0.000
B  0.591  0.909  0.500
Si  0.856  0.644  0.000
B  0.409  0.091  0.500
B  0.909  0.409  0.500
Ag  0.000  0.000  0.000

Results
**V**: 13.48 Å³/atom
**Total magnetization**: 0.00 μB per atom
**Space-group type**: P4/mbm (127)
**Crystal system**: tetragonal

***

In terms of stability, w leads; the second structure lies 144 meV per atom higher.

***

## w
Entry from the Alexandria database: a relaxed Si3AgB crystal (GGA-PBE).

Cell lengths 4.801, 4.801, 4.801 Å; angles 90.00, 90.00, 90.00 degrees
Atoms (fractional coordinates):
Si  0.000  0.000  0.500
Si  0.000  0.500  0.000
Ag  0.000  0.000  0.000
Si  0.500  0.000  0.000
B  0.500  0.500  0.500

Results
**V**: 22.13 Å³/atom
**Total magnetization**: 0.00 μB per atom
**Space-group type**: Pm-3m (221)
**Crystal system**: cubic

***

## x
Entry from the Alexandria database: a relaxed Si3AgB crystal (GGA-PBE).

Cell lengths 4.194, 4.194, 4.194 Å; angles 90.00, 90.00, 90.00 degrees
Atoms (fractional coordinates):
Si  0.000  0.500  0.000
Si  0.000  0.000  0.500
Ag  0.500  0.500  0.500
Si  0.500  0.000  0.000
B  0.000  0.000  0.000

Results
**V**: 14.76 Å³/atom
**Total magnetization**: 0.00 μB per atom
**Space-group type**: Pm-3m (221)
**Crystal system**: cubic

***

In terms of stability, x leads; the second structure lies 1223 meV per atom higher.

***

## w
Entry from the Alexandria database: a relaxed TaAgB3 crystal (GGA-PBE).

Cell lengths 4.300, 4.300, 4.300 Å; angles 90.00, 90.00, 90.00 degrees
Atoms (fractional coordinates):
Ag  0.500  0.500  0.500
Ta  0.000  0.000  0.000
B  0.000  0.500  0.000
B  0.000  0.000  0.500
B  0.500  0.000  0.000

Results
**V**: 15.90 Å³/atom
**Total magnetization**: 0.00 μB per atom
**Space-group type**: Pm-3m (221)
**Crystal system**: cubic

***

## x
Entry from the Alexandria database: a relaxed TaAgB3 crystal (GGA-PBE).

Cell lengths 4.058, 4.058, 4.058 Å; angles 90.00, 90.00, 90.00 degrees
Atoms (fractional coordinates):
B  0.500  0.000  0.000
Ag  0.000  0.000  0.000
Ta  0.500  0.500  0.500
B  0.000  0.500  0.000
B  0.000  0.000  0.500

Results
**V**: 13.36 Å³/atom
**Total magnetization**: 0.00 μB per atom
**Space-group type**: Pm-3m (221)
**Crystal system**: cubic

***

In terms of stability, w leads; the second structure lies 576 meV per atom higher.

***

## w
Entry from the Alexandria database: a relaxed TcAg3B crystal (GGA-PBE).

Cell lengths 4.350, 4.350, 4.350 Å; angles 90.00, 90.00, 90.00 degrees
Atoms (fractional coordinates):
Ag  0.000  0.000  0.500
Ag  0.000  0.500  0.000
Ag  0.500  0.000  0.000
Tc  0.500  0.500  0.500
B  0.000  0.000  0.000

Results
**V**: 16.46 Å³/atom
**Total magnetization**: 0.64 μB per atom
**Space-group type**: Pm-3m (221)
**Crystal system**: cubic

***

## x
Entry from the Alexandria database: a relaxed TcAg3B crystal (GGA-PBE).

Cell lengths 5.159, 5.159, 5.159 Å; angles 90.00, 90.00, 90.00 degrees
Atoms (fractional coordinates):
Ag  0.500  0.000  0.000
B  0.500  0.500  0.500
Tc  0.000  0.000  0.000
Ag  0.000  0.000  0.500
Ag  0.000  0.500  0.000

Results
**V**: 27.46 Å³/atom
**Total magnetization**: 0.65 μB per atom
**Space-group type**: Pm-3m (221)
**Crystal system**: cubic

***

In terms of stability, w leads; the second structure lies 1337 meV per atom higher.

***

## w
Entry from the Alexandria database: a relaxed AgB3Te crystal (GGA-PBE).

Cell lengths 4.468, 4.468, 4.468 Å; angles 90.00, 90.00, 90.00 degrees
Atoms (fractional coordinates):
B  0.000  0.500  0.000
B  0.000  0.000  0.500
B  0.500  0.000  0.000
Ag  0.500  0.500  0.500
Te  0.000  0.000  0.000

Results
**V**: 17.84 Å³/atom
**Total magnetization**: 0.00 μB per atom
**Space-group type**: Pm-3m (221)
**Crystal system**: cubic

***

## x
Entry from the Alexandria database: a relaxed AgB3Te crystal (GGA-PBE).

Cell lengths 4.335, 4.335, 4.335 Å; angles 90.00, 90.00, 90.00 degrees
Atoms (fractional coordinates):
B  0.000  0.000  0.500
Te  0.500  0.500  0.500
Ag  0.000  0.000  0.000
B  0.000  0.500  0.000
B  0.500  0.000  0.000

Results
**V**: 16.30 Å³/atom
**Total magnetization**: 0.00 μB per atom
**Space-group type**: Pm-3m (221)
**Crystal system**: cubic

***

In terms of stability, x leads; the second structure lies 348 meV per atom higher.

***

## w
Entry from the Alexandria database: a relaxed Ag2BTe2 crystal (GGA-PBE).

Cell lengths 3.901, 3.901, 8.121 Å; angles 76.10, 76.10, 90.00 degrees
Atoms (fractional coordinates):
Ag  0.750  0.250  0.500
B  0.000  0.000  0.000
Te  0.395  0.395  0.211
Ag  0.250  0.750  0.500
Te  0.605  0.605  0.789

Results
**V**: 23.25 Å³/atom
**Total magnetization**: 0.00 μB per atom
**Space-group type**: I4/mmm (139)
**Crystal system**: tetragonal

***

## x
Entry from the Alexandria database: a relaxed Ag2BTe2 crystal (GGA-PBE).

Cell lengths 7.031, 7.031, 4.663 Å; angles 90.00, 90.00, 90.00 degrees
Atoms (fractional coordinates):
B  0.000  0.000  0.000
Te  0.797  0.703  0.000
Ag  0.860  0.360  0.500
Ag  0.140  0.640  0.500
Te  0.203  0.297  0.000
B  0.500  0.500  0.000
Te  0.297  0.797  0.000
Te  0.703  0.203  0.000
Ag  0.640  0.860  0.500
Ag  0.360  0.140  0.500

Results
**V**: 23.05 Å³/atom
**Total magnetization**: 0.00 μB per atom
**Space-group type**: P4/mbm (127)
**Crystal system**: tetragonal

***

In terms of stability, x leads; the second structure lies 101 meV per atom higher.